Entry 1:
Compound: CaTe2Au
Source: Alexandria
Functional: PBE
Structure: relaxed

## Properties
Fermi-level density of states: 6.123 states/eV/cell
ΔE_f (raw): -443 meV/atom

```
data_CaTe2Au
_symmetry_space_group_name_H-M 'C m m m'
_symmetry_Int_Tables_number 65
_symmetry_space_group_name_Hall '-C 2 2'
_cell_length_a 4.531
_cell_length_b 6.763
_cell_length_c 7.633
_cell_angle_alpha 90.00
_cell_angle_beta 90.00
_cell_angle_gamma 90.00
loop_
_atom_site_label
_atom_site_fract_x
_atom_site_fract_y
_atom_site_fract_z
_atom_site_occupancy
Ca1 0.000 0.000 0.000 1
Te1 0.000 0.500 0.268 1
Au1 0.000 0.000 0.500 1
```



Entry 2:
Compound: Nd3Hg5
Source: Alexandria
Functional: PBE
Structure: relaxed

## Properties
Fermi-level density of states: 13.718 states/eV/cell
energy relative to the elements: -3.54 eV/f.u.

```
data_Nd3Hg5
_symmetry_space_group_name_H-M 'C m m m'
_symmetry_Int_Tables_number 65
_symmetry_space_group_name_Hall '-C 2 2'
_cell_length_a 7.863
_cell_length_b 10.575
_cell_length_c 5.249
_cell_angle_alpha 90.00
_cell_angle_beta 90.00
_cell_angle_gamma 90.00
loop_
_atom_site_label
_atom_site_fract_x
_atom_site_fract_y
_atom_site_fract_z
_atom_site_occupancy
Nd1 0.000 0.000 0.000 1
Nd2 0.000 0.292 0.500 1
Hg1 0.000 0.500 0.000 1
Hg2 0.214 0.000 0.500 1
Hg3 0.250 0.250 0.000 1
```



Entry 3:
Compound: ErCu3Si3
Source: Alexandria
Functional: PBE
Structure: relaxed

## Properties
Fermi-level density of states: 6.980 states/eV/cell
ΔE_f (raw): 169 meV/atom

```
data_ErCu3Si3
_symmetry_space_group_name_H-M 'P m -3 n'
_symmetry_Int_Tables_number 223
_symmetry_space_group_name_Hall '-P 4n 2 3'
_cell_length_a 6.376
_cell_length_b 6.376
_cell_length_c 6.376
_cell_angle_alpha 90.00
_cell_angle_beta 90.00
_cell_angle_gamma 90.00
loop_
_atom_site_label
_atom_site_fract_x
_atom_site_fract_y
_atom_site_fract_z
_atom_site_occupancy
Er1 0.000 0.000 0.000 1
Cu1 0.000 0.250 0.500 1
Si1 0.000 0.500 0.250 1
```



Entry 4:
Compound: Tb4Pr3Nd8
Source: Alexandria
Functional: PBE
Structure: relaxed

## Properties
Fermi-level density of states: 48.086 states/eV/cell
energy relative to the elements: 4.78 eV/f.u.

```
data_Tb4Pr3Nd8
_symmetry_space_group_name_H-M 'C 1 2/m 1'
_symmetry_Int_Tables_number 12
_cell_length_a 14.152
_cell_length_b 12.329
_cell_length_c 6.959
_cell_angle_alpha 90.00
_cell_angle_beta 119.44
_cell_angle_gamma 90.00
loop_
_symmetry_equiv_pos_as_xyz
'x,y,z'
'-x,-y,-z'
'-x,y,-z'
'x,-y,z'
'x+1/2,y+1/2,z'
'-x+1/2,-y+1/2,-z'
'-x+1/2,y+1/2,-z'
'x+1/2,-y+1/2,z'
loop_
_atom_site_label
_atom_site_fract_x
_atom_site_fract_y
_atom_site_fract_z
_atom_site_occupancy
Tb1 0.000 0.000 0.000 1
Tb2 0.000 0.000 0.500 1
Tb3 0.250 0.250 0.000 1
Pr1 0.000 0.500 0.500 1
Pr2 0.250 0.250 0.500 1
Nd1 0.000 0.247 0.500 1
Nd2 0.000 0.295 0.000 1
Nd3 0.205 0.500 0.206 1
Nd4 0.247 0.000 0.241 1
```



Entry 5:
Compound: Tb3ThSc7
Source: Alexandria
Functional: PBE
Structure: relaxed

## Properties
Fermi-level density of states: 16.932 states/eV/cell
energy relative to the elements: 2.28 eV/f.u.

```
data_Tb3ThSc7
_symmetry_space_group_name_H-M 'P 3 m 1'
_symmetry_Int_Tables_number 156
_cell_length_a 6.6333
_cell_length_b 6.6333
_cell_length_c 8.2853
_cell_angle_alpha 90.00
_cell_angle_beta 90.00
_cell_angle_gamma 120.00
loop_
_symmetry_equiv_pos_as_xyz
'x,y,z'
'-y,x-y,z'
'-x+y,-x,z'
'-y,-x,z'
'-x+y,y,z'
'x,x-y,z'
loop_
_atom_site_label
_atom_site_fract_x
_atom_site_fract_y
_atom_site_fract_z
_atom_site_occupancy
Tb1 0.0005 0.5003 0.0000 1
Th1 0.3333 0.6667 0.3447 1
Sc1 0.1679 0.3359 0.6608 1
Sc2 0.3340 0.1670 0.3463 1
Sc3 0.6667 0.3333 0.6614 1
```



Entry 6:
Compound: Pm6GeSb5
Source: Alexandria
Functional: PBE
Structure: relaxed

## Properties
Fermi-level density of states: 10.063 states/eV/cell
ΔE_f (raw): -1093 meV/atom

```
data_Pm6GeSb5
_symmetry_space_group_name_H-M 'C 1 2/m 1'
_symmetry_Int_Tables_number 12
_cell_length_a 7.724
_cell_length_b 13.364
_cell_length_c 7.708
_cell_angle_alpha 90.00
_cell_angle_beta 109.49
_cell_angle_gamma 90.00
loop_
_symmetry_equiv_pos_as_xyz
'x,y,z'
'-x,-y,-z'
'-x,y,-z'
'x,-y,z'
'x+1/2,y+1/2,z'
'-x+1/2,-y+1/2,-z'
'-x+1/2,y+1/2,-z'
'x+1/2,-y+1/2,z'
loop_
_atom_site_label
_atom_site_fract_x
_atom_site_fract_y
_atom_site_fract_z
_atom_site_occupancy
Pm1 0.242 0.000 0.253 1
Pm2 0.243 0.162 0.743 1
Ge1 0.000 0.000 0.500 1
Sb1 0.000 0.171 0.000 1
Sb2 0.000 0.334 0.500 1
Sb3 0.000 0.500 0.000 1
```



How do the records compare in uncorrected energy? In the order shown, they have -0.2450; -0.1778; -0.3353; -0.3245; -0.4233; -0.4094 Ry/atom.
How do the records compare in magnetic moment? In the order shown, they have 0.0; 0.0; 0.0; 0.0; 0.0; 0.0 μB per formula unit.